Arrangement one

First-principles (GGA-PBE) data for a relaxed Pm2DySc3 crystal, as listed in Alexandria via LeMat-Bulk.

## Properties
Fermi-level density of states	24.50	states/eV per cell
space-group type	No. 164

Lattice parameters (Å, degrees): 6.6650 6.6650 9.3004 90.00 90.00 120.00
Last column: nearest neighbours and their distance in Å.
Atoms (fractional coordinates):
Pm1 0.0000 0.0000 0.0000  6 Sc 3.23
Pm2 0.0000 0.0000 0.5000  6 Sc 3.12
Pm3 0.3333 0.6667 0.0637  1 Dy 3.35, 3 Sc 3.44
Pm4 0.6667 0.3333 0.9363  1 Dy 3.35, 3 Sc 3.44
Dy1 0.3333 0.6667 0.4236  1 Pm 3.35, 9 Sc 3.41-3.68
Dy2 0.6667 0.3333 0.5764  1 Pm 3.35, 9 Sc 3.41-3.68
Sc1 0.1870 0.3740 0.7418  2 Sc 2.93, 2 Pm 3.12-3.23
Sc2 0.1870 0.8130 0.7418  2 Sc 2.93, 2 Pm 3.12-3.23
Sc3 0.3740 0.1870 0.2582  2 Sc 2.93, 2 Pm 3.12-3.23
Sc4 0.6260 0.8130 0.7418  2 Sc 2.93, 2 Pm 3.12-3.23
Sc5 0.8130 0.1870 0.2582  2 Sc 2.93, 2 Pm 3.12-3.23
Sc6 0.8130 0.6260 0.2582  2 Sc 2.93, 2 Pm 3.12-3.23


Arrangement two

First-principles (GGA-PBE) data for a relaxed Pm2DySc3 crystal, as listed in Alexandria via LeMat-Bulk.

## Properties
Fermi-level density of states	20.26	states/eV per cell
space-group type	No. 15

Lattice parameters (Å, degrees): 7.3868 7.3868 6.9765 104.81 104.81 96.82
Last column: nearest neighbours and their distance in Å.
Atoms (fractional coordinates):
Pm1 0.0601 0.5919 0.7642  5 Sc 3.10-3.30, 1 Pm 3.42
Pm2 0.4081 0.9399 0.7358  5 Sc 3.10-3.30, 1 Pm 3.42
Pm3 0.5919 0.0601 0.2642  5 Sc 3.10-3.30, 1 Pm 3.42
Pm4 0.9399 0.4081 0.2358  5 Sc 3.10-3.30, 1 Pm 3.42
Dy1 0.5000 0.5000 0.0000  6 Sc 3.37-3.65, 2 Pm 3.48, 2 Dy 3.49
Dy2 0.5000 0.5000 0.5000  6 Sc 3.37-3.65, 2 Pm 3.48, 2 Dy 3.49
Sc1 0.1495 0.1804 0.5277  3 Pm 3.10-3.30, 3 Sc 3.13-3.41, 1 Dy 3.37
Sc2 0.1804 0.1495 0.0277  3 Pm 3.10-3.30, 3 Sc 3.13-3.41, 1 Dy 3.37
Sc3 0.2113 0.7887 0.2500  4 Pm 3.16-3.22, 4 Sc 3.20-3.41
Sc4 0.7887 0.2113 0.7500  4 Pm 3.16-3.22, 4 Sc 3.20-3.41
Sc5 0.8196 0.8505 0.9723  3 Pm 3.10-3.30, 3 Sc 3.13-3.41, 1 Dy 3.37
Sc6 0.8505 0.8196 0.4723  3 Pm 3.10-3.30, 3 Sc 3.13-3.41, 1 Dy 3.37


Top of the stability list: arrangement two, leading by 0.058 eV/atom.